Record 1
A geometry-optimized AcLaPtRh structure. Source: Alexandria via LeMat-Bulk, functional PBE.

The space group is Amm2 (No. 38) and the conventional cell measures 4.442, 4.090 and 11.418 Å, with angles of 90.00, 90.00 and 90.00 degrees. Symmetry generates all atoms from Ac at (0.000, 0.000, 0.000), La at (0.500, 0.000, 0.274), Pt at (0.500, 0.000, 0.555) and Rh at (0.000, 0.000, 0.735).

The value obtained for the formation enthalpy at 0 K is -0.948 eV/atom. The value obtained for the energy relative to the lowest polymorph listed for this composition is 0.0000 eV per atom. The density of states at the Fermi level comes out at 0.52 states/eV per atom.

---

Record 2
A geometry-optimized Pa2TiMo structure. Source: Alexandria via LeMat-Bulk, functional PBE.

The space group is P4/mmm (No. 123) and the conventional cell measures 5.002, 5.002 and 3.383 Å, with angles of 90.00, 90.00 and 90.00 degrees. Symmetry generates all atoms from Pa at (0.000, 0.500, 0.000), Ti at (0.000, 0.000, 0.500) and Mo at (0.500, 0.500, 0.500).

The value obtained for the formation enthalpy at 0 K is 0.239 eV/atom. The value obtained for the energy relative to the lowest polymorph listed for this composition is 0.0000 eV per atom. The density of states at the Fermi level comes out at 1.80 states/eV per atom.

---

Record 3
A geometry-optimized ZrReRu2 structure. Source: Alexandria via LeMat-Bulk, functional PBE.

The space group is I-4m2 (No. 119) and the conventional cell measures 3.910, 3.910 and 8.366 Å, with angles of 90.00, 90.00 and 90.00 degrees. Symmetry generates all atoms from Zr at (0.000, 0.000, 0.000), Re at (0.000, 0.500, 0.750), Ru at (0.000, 0.000, 0.500) and Ru at (0.000, 0.500, 0.250).

The value obtained for the formation enthalpy at 0 K is 0.028 eV/atom. The value obtained for the energy relative to the lowest polymorph listed for this composition is 0.1080 eV per atom. The density of states at the Fermi level comes out at 1.13 states/eV per atom.

---

Record 4
A geometry-optimized Pr2Zn3Cd9 structure. Source: Alexandria via LeMat-Bulk, functional PBE.

The space group is C2/c (No. 15) and the conventional cell measures 14.639, 8.449 and 11.120 Å, with angles of 90.00, 115.12 and 90.00 degrees. Symmetry generates all atoms from Pr at (0.164, 0.082, 0.244), Zn at (0.087, 0.220, 0.491), Zn at (0.250, 0.250, 0.000), Cd at (0.000, 0.375, 0.250), Cd at (0.057, 0.098, 0.914), Cd at (0.104, 0.416, 0.059), Cd at (0.110, 0.318, 0.739) and Cd at (0.221, 0.416, 0.423).

The value obtained for the formation enthalpy at 0 K is -0.192 eV/atom. The density of states at the Fermi level comes out at 0.36 states/eV per atom.